# La5Ce3Sb8

An optimized crystal structure of La5Ce3Sb8 (PBE, the Alexandria database).

* total energy: -5.90 eV/atom
* volume: 544 Å³ per cell
* E_form (uncorrected): -1.189 eV/atom
* Fermi-level density of states: 1.25 states/eV/atom

Unit cell a=9.1673 b=9.1673 c=9.1673 alpha=59.98 beta=59.98 gamma=59.98
Atoms (fractional coordinates):
La: 0.0000 0.0000 0.0000
La: 0.0000 0.5000 0.5000
La: 0.5000 0.0000 0.5000
La: 0.5000 0.5000 0.0000
La: 0.5000 0.5000 0.5000
Ce: 0.0000 0.0000 0.5000
Ce: 0.0000 0.5000 0.0000
Ce: 0.5000 0.0000 0.0000
Sb: 0.2445 0.7500 0.7500
Sb: 0.2475 0.2475 0.2475
Sb: 0.2500 0.2500 0.7555
Sb: 0.2500 0.7555 0.2500
Sb: 0.7500 0.2445 0.7500
Sb: 0.7500 0.7500 0.2445
Sb: 0.7525 0.7525 0.7525
Sb: 0.7555 0.2500 0.2500

=====

# NdY3Ga4

An optimized crystal structure of NdY3Ga4 (PBE, the Alexandria database).

* total energy: -5.12 eV/atom
* volume: 188 Å³ per cell
* calculated formation energy: -4.7 eV/f.u.
* Fermi-level density of states: 0.37 states/eV/atom

Unit cell a=5.1047 b=5.1047 c=7.2154 alpha=90.00 beta=90.00 gamma=90.00
Atoms (fractional coordinates):
Nd: 0.0000 0.0000 0.0000
Y: 0.0000 0.0000 0.5000
Y: 0.5000 0.5000 0.0000
Y: 0.5000 0.5000 0.5000
Ga: 0.0000 0.5000 0.2569
Ga: 0.0000 0.5000 0.7431
Ga: 0.5000 0.0000 0.2569
Ga: 0.5000 0.0000 0.7431

=====

# CaNiBr

An optimized crystal structure of CaNiBr (PBE, the Alexandria database).

* total energy: -3.27 eV/atom
* volume: 83 Å³ per cell
* E_form (uncorrected): -0.119 eV/atom
* Fermi-level density of states: 1.88 states/eV/atom

Unit cell a=4.9020 b=4.9020 c=4.9020 alpha=60.00 beta=60.00 gamma=60.00
Atoms (fractional coordinates):
Ca: 0.0000 0.0000 0.0000
Ni: 0.7500 0.7500 0.7500
Br: 0.2500 0.2500 0.2500

=====

# Pu4SeI5

An optimized crystal structure of Pu4SeI5 (PBE, the Alexandria database).

* total energy: -7.88 eV/atom
* volume: 347 Å³ per cell
* E_form (uncorrected): -1.029 eV/atom
* Fermi-level density of states: 4.21 states/eV/atom

Unit cell a=9.7421 b=9.7421 c=8.8654 alpha=101.68 beta=101.68 gamma=24.92
Atoms (fractional coordinates):
Pu: 0.0006 0.0006 0.2747
Pu: 0.3426 0.3426 0.4329
Pu: 0.6574 0.6574 0.5671
Pu: 0.9994 0.9994 0.7253
Se: 0.5000 0.5000 0.5000
I: 0.1673 0.1673 0.8358
I: 0.1711 0.1711 0.3090
I: 0.5000 0.5000 0.0000
I: 0.8289 0.8289 0.6910
I: 0.8327 0.8327 0.1642